No. 1
A relaxed SrHfNi2Pt crystal. Source: Alexandria, functional PBE-GGA.

Unit cell a=4.745 b=4.745 c=5.094 alpha=90.00 beta=90.00 gamma=90.00
Fractional positions:
Sr 0.000 0.000 0.000
Hf 0.500 0.500 0.500
Ni 0.000 0.500 0.500
Ni 0.500 0.000 0.500
Pt 0.500 0.500 0.000

The calculation puts the uncorrected energy at -28.5 eV for the cell shown. The crystal system is tetragonal. The value obtained for the calculated formation energy is 0.148 eV per atom. As for the total moment: 0.00 μB per cell. The density of states at the Fermi level is 3.01 states/eV/f.u.


No. 2
A relaxed SrHfNi2Pt crystal. Source: Alexandria, functional PBE-GGA.

Unit cell a=4.443 b=4.443 c=5.367 alpha=90.00 beta=90.00 gamma=90.00
Fractional positions:
Sr 0.000 0.000 0.000
Hf 0.000 0.000 0.500
Ni 0.000 0.500 0.000
Ni 0.500 0.000 0.000
Pt 0.500 0.500 0.500

The calculation puts the uncorrected energy at -20.3 eV for the cell shown. The crystal system is tetragonal. The value obtained for the calculated formation energy is 1.798 eV per atom. As for the total moment: 0.00 μB per cell. The density of states at the Fermi level is 3.59 states/eV/f.u.


No. 3
A relaxed HfTa2NiPt crystal. Source: Alexandria, functional PBE-GGA.

Unit cell a=4.516 b=4.516 c=4.709 alpha=90.00 beta=90.00 gamma=90.00
Fractional positions:
Hf 0.000 0.000 0.000
Ta 0.000 0.500 0.500
Ta 0.500 0.000 0.500
Ni 0.500 0.500 0.500
Pt 0.500 0.500 0.000

The calculation puts the uncorrected energy at -42.9 eV for the cell shown. The crystal system is tetragonal. The value obtained for the calculated formation energy is 0.525 eV per atom. As for the total moment: 0.00 μB per cell. The density of states at the Fermi level is 6.20 states/eV/f.u.


No. 4
A relaxed TbHfNiPt crystal. Source: Alexandria, functional PBE-GGA.

Unit cell a=4.749 b=4.749 c=4.749 alpha=60.00 beta=60.00 gamma=60.00
Fractional positions:
Tb 0.000 0.000 0.000
Hf 0.500 0.500 0.500
Ni 0.250 0.250 0.250
Pt 0.750 0.750 0.750

The calculation puts the uncorrected energy at -29.1 eV for the cell shown. The crystal system is cubic. The value obtained for the calculated formation energy is -0.672 eV per atom. As for the total moment: 0.00 μB per cell. The density of states at the Fermi level is 3.42 states/eV/f.u.


Q: Which formula does entry 3 have?
A: HfTa2NiPt